Density functional theory data (PBE) for a geometry-optimized Sc3SiNi2 structure.

a b c (Å): 6.8982 6.8982 5.8872
angles (deg): 90.00 90.00 120.00
Space group P6_3/mmc (No. 194)
Inequivalent atoms, fractional coordinates:
Sc1 0.1819 0.3639 0.2500 x6
Si1 0.0000 0.0000 0.0000 x2
Ni1 0.3333 0.6667 0.5571 x4

Summary:
Raw total energy = -72.9 eV/cell
Crystal system = hexagonal
Formation energy without anion corrections = -0.5 eV/f.u.
Total magnetization = 0.0 μB/f.u.